(1)
# MnSiHg2Ge meta-GGA SCAN single point on PBEsol structure
# Energy: -180.59 eV for the cell shown
# SG: P4/mmm, No. 123
# E_form (uncorrected): 0.621 eV/atom
# Density: 8.46 g/cm3
data_MnSiHg2Ge
_symmetry_space_group_name_H-M 'P 1'
_symmetry_Int_Tables_number 1
_cell_length_a 4.986
_cell_length_b 4.986
_cell_length_c 4.398
_cell_angle_alpha 90.00
_cell_angle_beta 90.00
_cell_angle_gamma 90.00
loop_
_symmetry_equiv_pos_as_xyz
'x,y,z'
loop_
_atom_site_label
_atom_site_fract_x
_atom_site_fract_y
_atom_site_fract_z
Mn1 0.000 0.000 0.000
Si1 0.000 0.000 0.500
Hg1 0.000 0.500 0.000
Hg2 0.500 0.000 0.000
Ge1 0.500 0.500 0.500



(2)
# IrPtSe2 meta-GGA SCAN single point on PBEsol structure
# Energy: -179.71 eV for the cell shown
# SG: Cmm2, No. 35
# E_form (uncorrected): 0.436 eV/atom
# Density: 13.26 g/cm3
data_IrPtSe2
_symmetry_space_group_name_H-M 'P 1'
_symmetry_Int_Tables_number 1
_cell_length_a 2.869
_cell_length_b 2.869
_cell_length_c 9.645
_cell_angle_alpha 90.00
_cell_angle_beta 90.00
_cell_angle_gamma 120.71
loop_
_symmetry_equiv_pos_as_xyz
'x,y,z'
loop_
_atom_site_label
_atom_site_fract_x
_atom_site_fract_y
_atom_site_fract_z
Ir1 0.000 0.000 0.000
Pt1 0.500 0.500 0.239
Se1 0.000 0.000 0.467
Se2 0.500 0.500 0.787



(3)
# Zn2PCl meta-GGA SCAN single point on PBEsol structure
# Energy: -46.53 eV for the cell shown
# SG: Cm, No. 8
# E_form (uncorrected): -0.282 eV/atom
# Density: 4.19 g/cm3
data_Zn2PCl
_symmetry_space_group_name_H-M 'P 1'
_symmetry_Int_Tables_number 1
_cell_length_a 6.680
_cell_length_b 6.680
_cell_length_c 3.666
_cell_angle_alpha 101.66
_cell_angle_beta 101.66
_cell_angle_gamma 29.24
loop_
_symmetry_equiv_pos_as_xyz
'x,y,z'
loop_
_atom_site_label
_atom_site_fract_x
_atom_site_fract_y
_atom_site_fract_z
Zn1 0.000 0.000 0.000
Zn2 0.169 0.169 0.660
P1 0.534 0.534 0.520
Cl1 0.806 0.806 0.852



(4)
# ScCdSeN2 meta-GGA SCAN single point on PBEsol structure
# Energy: -78.68 eV for the cell shown
# SG: P4/mmm, No. 123
# E_form (uncorrected): 0.926 eV/atom
# Density: 4.98 g/cm3
data_ScCdSeN2
_symmetry_space_group_name_H-M 'P 1'
_symmetry_Int_Tables_number 1
_cell_length_a 4.109
_cell_length_b 4.109
_cell_length_c 5.219
_cell_angle_alpha 90.00
_cell_angle_beta 90.00
_cell_angle_gamma 90.00
loop_
_symmetry_equiv_pos_as_xyz
'x,y,z'
loop_
_atom_site_label
_atom_site_fract_x
_atom_site_fract_y
_atom_site_fract_z
Sc1 0.000 0.000 0.000
Cd1 0.500 0.500 0.500
Se1 0.500 0.500 0.000
N1 0.000 0.500 0.500
N2 0.500 0.000 0.500



(5)
# SrBePb3 meta-GGA SCAN single point on PBEsol structure
# Energy: -254.46 eV for the cell shown
# SG: Pm-3m, No. 221
# ΔE_f: -0.10 eV per atom
# Density: 8.61 g/cm3
data_SrBePb3
_symmetry_space_group_name_H-M 'P 1'
_symmetry_Int_Tables_number 1
_cell_length_a 5.175
_cell_length_b 5.175
_cell_length_c 5.175
_cell_angle_alpha 90.00
_cell_angle_beta 90.00
_cell_angle_gamma 90.00
loop_
_symmetry_equiv_pos_as_xyz
'x,y,z'
loop_
_atom_site_label
_atom_site_fract_x
_atom_site_fract_y
_atom_site_fract_z
Sr1 0.000 0.000 0.000
Be1 0.500 0.500 0.500
Pb1 0.000 0.500 0.500
Pb2 0.500 0.000 0.500
Pb3 0.500 0.500 0.000



(6)
# Ca2TlCu2 meta-GGA SCAN single point on PBEsol structure
# Energy: -122.67 eV for the cell shown
# SG: I4/mmm, No. 139
# ΔE_f: -0.12 eV per atom
# Density: 5.87 g/cm3
data_Ca2TlCu2
_symmetry_space_group_name_H-M 'P 1'
_symmetry_Int_Tables_number 1
_cell_length_a 5.442
_cell_length_b 5.442
_cell_length_c 5.442
_cell_angle_alpha 118.48
_cell_angle_beta 118.48
_cell_angle_gamma 92.66
loop_
_symmetry_equiv_pos_as_xyz
'x,y,z'
loop_
_atom_site_label
_atom_site_fract_x
_atom_site_fract_y
_atom_site_fract_z
Ca1 0.250 0.750 0.500
Ca2 0.750 0.250 0.500
Tl1 0.000 0.000 0.000
Cu1 0.350 0.350 0.000
Cu2 0.650 0.650 0.000